Entry 1:
PBE YTmSi2Ir4, optimized geometry; final energy = -63.92 eV/cell
1.0
7.018 0.000 0.000
0.000 1.903 5.035
0.000 -1.903 5.035
Y Tm Si Ir
1 1 2 4
direct
0.000 0.000 0.000 Y
0.500 0.885 0.885 Tm
0.000 0.720 0.720 Si
0.500 0.166 0.166 Si
0.203 0.298 0.298 Ir
0.300 0.587 0.587 Ir
0.700 0.587 0.587 Ir
0.797 0.298 0.298 Ir


Entry 2:
PBE USi3Ir, optimized geometry; final energy = -39.19 eV/cell
1.0
-2.086 2.086 4.873
2.086 -2.086 4.873
2.086 2.086 -4.873
U Si Ir
1 3 1
direct
0.000 0.000 0.000 U
0.269 0.769 0.500 Si
0.414 0.414 0.000 Si
0.769 0.269 0.500 Si
0.655 0.655 0.000 Ir


Entry 3:
PBE U2Si5Ir3, optimized geometry; final energy = -166.77 eV/cell
1.0
-5.023 5.664 2.935
5.023 -5.664 2.935
5.023 5.664 -2.935
U Si Ir
4 10 6
direct
0.131 0.230 0.361 U
0.369 0.730 0.098 U
0.631 0.270 0.902 U
0.869 0.770 0.639 U
0.023 0.750 0.273 Si
0.109 0.653 0.761 Si
0.250 0.250 0.000 Si
0.391 0.153 0.544 Si
0.477 0.750 0.727 Si
0.523 0.250 0.273 Si
0.609 0.847 0.456 Si
0.750 0.750 0.000 Si
0.891 0.347 0.239 Si
0.977 0.250 0.727 Si
0.139 0.884 0.023 Ir
0.250 0.750 0.500 Ir
0.361 0.384 0.745 Ir
0.639 0.616 0.255 Ir
0.750 0.250 0.500 Ir
0.861 0.116 0.977 Ir


Entry 4:
PBE USi2Ir, optimized geometry; final energy = -134.21 eV/cell
1.0
6.834 0.000 0.000
0.000 4.058 0.000
0.000 0.000 9.850
U Si Ir
4 8 4
direct
0.149 0.250 0.127 U
0.351 0.750 0.627 U
0.649 0.250 0.373 U
0.851 0.750 0.873 U
0.145 0.250 0.821 Si
0.220 0.250 0.421 Si
0.280 0.750 0.921 Si
0.355 0.750 0.321 Si
0.645 0.250 0.679 Si
0.720 0.250 0.079 Si
0.780 0.750 0.579 Si
0.855 0.750 0.179 Si
0.010 0.750 0.391 Ir
0.490 0.250 0.891 Ir
0.510 0.750 0.109 Ir
0.990 0.250 0.609 Ir


Entry 5:
PBE YSi2Ir4, optimized geometry; final energy = -116.64 eV/cell
1.0
7.614 0.000 0.000
0.000 7.614 0.000
0.000 0.000 3.849
Y Si Ir
2 4 8
direct
0.000 0.000 0.000 Y
0.500 0.500 0.500 Y
0.228 0.228 0.500 Si
0.272 0.728 0.000 Si
0.728 0.272 0.000 Si
0.772 0.772 0.500 Si
0.074 0.667 0.500 Ir
0.167 0.426 0.000 Ir
0.333 0.926 0.500 Ir
0.426 0.167 0.000 Ir
0.574 0.833 0.000 Ir
0.667 0.074 0.500 Ir
0.833 0.574 0.000 Ir
0.926 0.333 0.500 Ir


Entry 6:
PBE Y2SiIr, optimized geometry; final energy = -28.44 eV/cell
1.0
0.000 3.386 3.386
3.386 0.000 3.386
3.386 3.386 0.000
Y Si Ir
2 1 1
direct
0.000 0.000 0.000 Y
0.250 0.250 0.250 Y
0.500 0.500 0.500 Si
0.750 0.750 0.750 Ir